5
Lattice="4.148 0.000 0.000 0.000 7.691 0.000 0.000 0.000 4.148" Properties=species:S:1:pos:R:3 comment="GGA-PBE RbNbPtC2, optimized geometry" total_energy_ev_per_cell=-25.07 delta_e_f_ev_per_fu=10.45 crystal_system=tetragonal sg="P4/mmm, No. 123" pbc="T T T"
C 2.074 0.000 0.000
Nb 0.000 0.000 0.000
Rb 0.000 3.846 0.000
Pt 2.074 3.846 2.074
C 0.000 0.000 2.074



5
Lattice="5.125 0.000 0.000 0.000 4.349 0.000 0.000 0.000 5.125" Properties=species:S:1:pos:R:3 comment="GGA-PBE RbNbPt2C, optimized geometry" total_energy_ev_per_cell=-27.36 delta_e_f_ev_per_fu=4.99 crystal_system=tetragonal sg="P4/mmm, No. 123" pbc="T T T"
C 0.000 2.174 0.000
Pt 2.562 0.000 0.000
Nb 0.000 0.000 0.000
Rb 2.562 2.174 2.562
Pt 0.000 0.000 2.562



5
Lattice="-1.877 -0.852 -3.223 -1.140 -4.908 1.962 -3.235 1.360 1.523" Properties=species:S:1:pos:R:3 comment="GGA-PBE NbRuPtC2, optimized geometry" total_energy_ev_per_cell=-34.59 delta_e_f_ev_per_fu=9.24 crystal_system=tetragonal sg="P4/mmm, No. 123" pbc="T T T"
C -1.617 0.680 0.762
Pt 0.000 0.000 0.000
C -0.938 -0.426 -1.611
Nb -3.126 -2.200 0.132
Ru -0.570 -2.454 0.981



5
Lattice="4.262 0.000 0.000 0.000 4.385 0.000 0.000 0.000 4.262" Properties=species:S:1:pos:R:3 comment="GGA-PBE NbSbPt2C, optimized geometry" formation_energy_uncorrected_ev_per_atom=0.06 total_energy_ev_per_cell=-35.20 crystal_system=tetragonal sg="P4/mmm, No. 123" pbc="T T T"
Pt 2.131 0.000 0.000
Nb 0.000 2.193 0.000
Sb 2.131 2.193 2.131
C 0.000 0.000 0.000
Pt 0.000 0.000 2.131



5
Lattice="-3.520 2.316 -0.904 -2.033 -3.584 -1.264 -1.306 -0.553 3.669" Properties=species:S:1:pos:R:3 comment="GGA-PBE Nb2VPtC, optimized geometry" total_energy_ev_per_cell=-46.60 delta_e_f_ev_per_fu=-2.08 crystal_system=tetragonal sg="P4/mmm, No. 123" pbc="T T T"
Nb -1.760 1.158 -0.452
C 0.000 0.000 0.000
V -0.653 -0.277 1.834
Nb -1.017 -1.792 -0.632
Pt -3.430 -0.910 0.750



5
Lattice="-4.843 -0.307 0.426 -0.226 -2.533 -4.394 0.479 -4.211 2.403" Properties=species:S:1:pos:R:3 comment="GGA-PBE ZrNbPt2C, optimized geometry" total_energy_ev_per_cell=-27.64 delta_e_f_ev_per_fu=12.28 crystal_system=tetragonal sg="P4/mmm, No. 123" pbc="T T T"
Nb -0.113 -1.267 -2.197
Zr 0.000 0.000 0.000
Pt -2.422 -0.154 0.213
C -2.295 -3.526 -0.782
Pt 0.239 -2.105 1.201



4
Lattice="-1.247 -2.937 -0.773 -0.822 -2.111 2.377 -5.885 0.488 0.667" Properties=species:S:1:pos:R:3 comment="GGA-PBE PuNbC2, optimized geometry" total_energy_ev_per_cell=-43.94 delta_e_f_ev_per_fu=-1.09 crystal_system=trigonal sg="R-3m, No. 166" pbc="T T T"
C -6.087 -3.370 1.706
Nb 0.000 0.000 0.000
C -1.867 -1.191 0.565
Pu -3.977 -2.280 1.135



3
Lattice="3.082 0.000 0.000 0.000 3.082 0.000 -1.541 -1.541 5.715" Properties=species:S:1:pos:R:3 comment="GGA-PBE PuNbC, optimized geometry" total_energy_ev_per_cell=-33.12 delta_e_f_ev_per_fu=0.50 crystal_system=tetragonal sg="I4mm, No. 107" pbc="T T T"
C 1.541 1.541 2.890
Nb 0.000 0.000 3.011
Pu 1.541 1.541 5.529



3
Lattice="5.701 0.000 0.000 0.000 3.197 0.000 0.000 -1.599 2.769" Properties=species:S:1:pos:R:3 comment="GGA-PBE PuNbC, optimized geometry" total_energy_ev_per_cell=-33.92 delta_e_f_ev_per_fu=-0.30 crystal_system=trigonal sg="P3m1, No. 156" pbc="T T T"
Nb 3.208 0.000 1.846
Pu 0.453 0.000 0.000
C 2.039 1.599 0.923



12
Lattice="-2.872 -5.409 3.092 4.719 -2.594 -0.155 1.288 2.057 4.795" Properties=species:S:1:pos:R:3 comment="GGA-PBE PuNbC, optimized geometry" total_energy_ev_per_cell=-135.55 delta_e_f_ev_per_fu=-0.26 crystal_system=orthorhombic sg="Pbcm, No. 57" pbc="T T T"
Nb 2.744 -1.474 1.401
Pu 3.640 -4.281 5.376
C 1.453 -0.317 2.757
Nb 5.082 -1.377 3.743
Nb -1.947 -4.570 3.989
C 1.681 -5.629 4.975
Nb 0.390 -4.472 6.331
C 0.809 -1.346 0.360
C 1.037 -6.657 2.578
Pu 1.988 -1.653 4.693
Pu 1.147 -4.293 3.040
Pu -0.505 -1.665 2.356



4
Lattice="3.180 0.000 0.000 1.590 2.754 0.000 1.590 0.918 8.849" Properties=species:S:1:pos:R:3 comment="GGA-PBE Pu2NbC, optimized geometry" total_energy_ev_per_cell=-46.12 delta_e_f_ev_per_fu=1.83 crystal_system=trigonal sg="R-3m, No. 166" pbc="T T T"
C 3.180 1.836 4.424
Pu 1.590 0.918 5.937
Pu 4.771 2.754 2.912
Nb 0.000 0.000 0.000



8
Lattice="-5.823 -0.902 11.631 -1.416 -12.849 -1.705 -1.787 -7.196 5.856" Properties=species:S:1:pos:R:3 comment="GGA-PBE Rb2NbC, optimized geometry" total_energy_ev_per_cell=-33.93 delta_e_f_ev_per_fu=4.26 crystal_system=tetragonal sg="I-42d, No. 122" pbc="T T T"
C -3.411 -13.460 4.557
Rb -7.390 -14.848 13.420
Rb -3.229 -10.123 4.189
C -3.619 -6.875 4.963
Rb -3.094 -3.787 6.184
Nb -5.615 -7.486 11.225
Rb -4.339 -13.134 7.772
Nb 0.000 0.000 0.000



Repeat the second record exactly.
5
Lattice="5.125 0.000 0.000 0.000 4.349 0.000 0.000 0.000 5.125" Properties=species:S:1:pos:R:3 comment="GGA-PBE RbNbPt2C, optimized geometry" total_energy_ev_per_cell=-27.36 delta_e_f_ev_per_fu=4.99 crystal_system=tetragonal sg="P4/mmm, No. 123" pbc="T T T"
C 0.000 2.174 0.000
Pt 2.562 0.000 0.000
Nb 0.000 0.000 0.000
Rb 2.562 2.174 2.562
Pt 0.000 0.000 2.562